HoLuZnPd: relaxed, PBE.

Results
- Formation energy: -0.63 eV per atom
- Space group: F-43m (216)
- Density: 9.96 g/cm3

Lattice parameters (Å, degrees): 4.942 4.942 4.942 60.00 60.00 60.00
Fractional positions:
Zn 0.000 0.000 0.000
Lu 0.750 0.750 0.750
Ho 0.250 0.250 0.250
Pd 0.500 0.500 0.500